Entry 1:
DFT (PBE-GGA) results for UCdCu after structural relaxation.

Summary:
- Total magnetization: 3.07 μB per formula unit
- E_form: 1.29 eV/atom
- Raw total energy: -4.0147 eV/atom

Unit cell a=6.7895 b=6.7895 c=6.7895 alpha=90.00 beta=90.00 gamma=90.00
Space group F-43m (No. 216)
Inequivalent atoms, fractional coordinates:
U1 0.0000 0.0000 0.0000 (multiplicity 4)
Cd1 0.2500 0.2500 0.7500 (multiplicity 4)
Cu1 0.2500 0.2500 0.2500 (multiplicity 4)

Entry 2:
DFT (PBE-GGA) results for UCdCu after structural relaxation.

Summary:
- Total magnetization: 1.95 μB per formula unit
- E_form: 0.83 eV/atom
- Raw total energy: -4.4722 eV/atom

Unit cell a=6.4844 b=6.4844 c=6.4844 alpha=90.00 beta=90.00 gamma=90.00
Space group F-43m (No. 216)
Inequivalent atoms, fractional coordinates:
U1 0.0000 0.0000 0.0000 (multiplicity 4)
Cd1 0.0000 0.0000 0.5000 (multiplicity 4)
Cu1 0.2500 0.2500 0.7500 (multiplicity 4)

Entry 3:
DFT (PBE-GGA) results for ZnCdCuW after structural relaxation.

Summary:
- Total magnetization: 1.42 μB per formula unit
- E_form: 0.72 eV/atom
- Raw total energy: -3.9845 eV/atom
- Distance to the lowest polymorph of the same formula: 0.00 eV/f.u.

Unit cell a=6.3402 b=6.3402 c=6.3402 alpha=90.00 beta=90.00 gamma=90.00
Space group F-43m (No. 216)
Inequivalent atoms, fractional coordinates:
Zn1 0.0000 0.0000 0.0000 (multiplicity 4)
Cd1 0.0000 0.0000 0.5000 (multiplicity 4)
Cu1 0.2500 0.2500 0.2500 (multiplicity 4)
W1 0.2500 0.2500 0.7500 (multiplicity 4)

Entry 4:
DFT (PBE-GGA) results for Y2CdCu2 after structural relaxation.

Summary:
- Total magnetization: 0.01 μB per formula unit
- E_form: -0.32 eV/atom
- Raw total energy: -4.5670 eV/atom

Unit cell a=7.5028 b=7.5028 c=3.7534 alpha=90.00 beta=90.00 gamma=90.00
Space group P4/mbm (No. 127)
Inequivalent atoms, fractional coordinates:
Y1 0.1754 0.3246 0.0000 (multiplicity 4)
Cd1 0.0000 0.0000 0.5000 (multiplicity 2)
Cu1 0.1196 0.6196 0.5000 (multiplicity 4)